Entry 1:
Compound: SiNiS
Source: Alexandria
Functional: GGA-PBE
Structure: relaxed

Cell lengths 3.4053, 3.2538, 8.9429 Å; angles 90.00, 90.00, 90.00 degrees
Last column: nearest neighbours and their distance in Å.
Space group Amm2 (No. 38)
Unique sites:
Si: 0.0000 0.0000 0.0000  2 S 2.23, 2 Ni 2.24
Ni: 0.5000 0.0000 0.8381  2 Si 2.24, 2 S 2.27
S: 0.0000 0.0000 0.6709  2 Si 2.23, 2 Ni 2.27

uncorrected formation energy = -21.2 kJ/mol of atoms
calculated total energy = -32.0 eV per cell
D(E_F) = 1.33 states/eV per cell

---

Entry 2:
Compound: CeW2N6
Source: Alexandria
Functional: GGA-PBE
Structure: relaxed

Cell lengths 11.1082, 3.9443, 6.6393 Å; angles 90.00, 120.76, 90.00 degrees
Last column: nearest neighbours and their distance in Å.
Space group C2/m (No. 12)
Unique sites:
Ce: 0.0000 0.0000 0.0000  6 N 2.39-2.68
W: 0.2170 0.0000 0.6579  2 N 1.82-1.92
N: 0.0345 0.0000 0.6229  1 N 1.40
N: 0.1333 0.5000 0.0446  1 W 1.82
N: 0.2444 0.5000 0.6152  3 W 2.04-2.07

uncorrected formation energy = -40.7 kJ/mol of atoms
calculated total energy = -171.2 eV per cell
D(E_F) = 1.13 states/eV per cell

---

Entry 3:
Compound: CoNiPt
Source: Alexandria
Functional: GGA-PBE
Structure: relaxed

Cell lengths 2.6644, 3.6321, 7.8772 Å; angles 90.00, 90.00, 90.00 degrees
Last column: nearest neighbours and their distance in Å.
Space group Imm2 (No. 44)
Unique sites:
Co: 0.0000 0.0000 0.0000  5 Ni 2.57-2.70, 5 Pt 2.59-2.62, 2 Co 2.66
Ni: 0.0000 0.0000 0.6567  5 Co 2.57-2.70, 5 Pt 2.58-2.63, 2 Ni 2.66
Pt: 0.0000 0.0000 0.3292  5 Ni 2.58-2.63, 5 Co 2.59-2.62, 2 Pt 2.66

energy above the most stable polymorph in this dataset = 0 meV/atom
calculated total energy = -38.4 eV per cell
D(E_F) = 5.60 states/eV per cell
ΔE_f = -86.0 meV/atom

---

Entry 4:
Compound: ErHI3
Source: Alexandria
Functional: GGA-PBE
Structure: relaxed

Cell lengths 8.2889, 7.9674, 14.1454 Å; angles 90.00, 108.48, 90.00 degrees
Last column: nearest neighbours and their distance in Å.
Space group P2/c (No. 13)
Unique sites:
Er: 0.0001 0.2503 0.0855  6 I 2.98-3.09
H: 0.0459 0.2307 0.7660  1 H 0.75
I: 0.2358 0.0460 0.0110  2 Er 2.98-3.09
I: 0.2360 0.4535 0.5768  2 Er 2.98-3.09
I: 0.2491 0.2508 0.2963  2 Er 3.04

calculated total energy = -71.7 eV per cell
D(E_F) = 0.00 states/eV per cell

---

Entry 5:
Compound: LiNd4Y5
Source: Alexandria
Functional: GGA-PBE
Structure: relaxed

Cell lengths 3.6502, 3.6502, 24.1619 Å; angles 90.00, 90.00, 90.00 degrees
Last column: nearest neighbours and their distance in Å.
Space group P4/mmm (No. 123)
Unique sites:
Li: 0.0000 0.0000 0.0000  8 Y 3.22
Nd: 0.0000 0.0000 0.1838  8 Y 3.60-3.63, 4 Nd 3.65
Nd: 0.0000 0.0000 0.3947  8 Y 3.62, 4 Nd 3.65
Y: 0.5000 0.5000 0.0798  4 Li 3.22, 4 Nd 3.60
Y: 0.5000 0.5000 0.2894  8 Nd 3.62-3.63, 4 Y 3.65
Y: 0.5000 0.5000 0.5000  8 Nd 3.62, 4 Y 3.65

calculated total energy = -53.0 eV per cell
D(E_F) = 13.34 states/eV per cell
ΔE_f = 33.3 meV/atom

---

Entry 6:
Compound: Tb3Sm4Bi4
Source: Alexandria
Functional: GGA-PBE
Structure: relaxed

Cell lengths 4.0943, 9.3595, 18.1892 Å; angles 90.00, 90.00, 90.00 degrees
Last column: nearest neighbours and their distance in Å.
Space group Immm (No. 71)
Unique sites:
Tb: 0.0000 0.0000 0.0000  4 Bi 3.41
Tb: 0.0000 0.5000 0.0982  6 Bi 3.16-3.35
Sm: 0.0000 0.3214 0.3334  4 Bi 3.21-3.24, 1 Sm 3.34
Bi: 0.0000 0.0000 0.2694  2 Tb 3.16, 6 Sm 3.23-3.24
Bi: 0.0000 0.2088 0.5000  2 Sm 3.21, 6 Tb 3.35-3.41

calculated total energy = -109.1 eV per cell
D(E_F) = 26.51 states/eV per cell
ΔE_f = -567.2 meV/atom

---

Entry 7:
Compound: TiGeBi
Source: Alexandria
Functional: GGA-PBE
Structure: relaxed

Cell lengths 13.0437, 4.4361, 4.8702 Å; angles 90.00, 90.00, 90.00 degrees
Last column: nearest neighbours and their distance in Å.
Space group Amm2 (No. 38)
Unique sites:
Ti: 0.0000 0.0000 0.0000  8 Bi 3.01-3.18, 4 Ti 3.29
Ti: 0.5000 0.0000 0.0044  8 Ge 2.62-2.81
Ge: 0.3930 0.0000 0.5046  4 Ti 2.62-2.81, 1 Ge 2.79
Bi: 0.1561 0.0000 0.5008  4 Ti 3.01-3.18, 1 Ge 3.09, 4 Bi 3.29

calculated total energy = -66.0 eV per cell
D(E_F) = 9.57 states/eV per cell
ΔE_f = -36.9 meV/atom

---

Entry 8:
Compound: ThTlAu2
Source: Alexandria
Functional: GGA-PBE
Structure: relaxed

Cell lengths 4.9421, 4.9421, 3.9929 Å; angles 90.00, 90.00, 90.00 degrees
Last column: nearest neighbours and their distance in Å.
Space group P4/mmm (No. 123)
Unique sites:
Th: 0.0000 0.0000 0.0000  8 Au 3.18, 4 Tl 3.49
Tl: 0.5000 0.5000 0.0000  8 Au 3.18, 4 Th 3.49
Au: 0.0000 0.5000 0.5000  4 Tl 3.18, 4 Th 3.18, 4 Au 3.49

calculated total energy = -17.7 eV per cell
D(E_F) = 3.04 states/eV per cell
ΔE_f = -341.3 meV/atom